Ca4Zn2CdIn: optimized geometry, PBE.

```
Ca4Zn2CdIn
1.0
-1.166 -4.948 1.588
2.062 -1.899 4.528
-6.607 0.764 6.461
In Ca Zn Cd
1 4 2 1
Cartesian
-2.856 -3.041 6.289
-0.267 -4.183 4.631
-1.690 -5.706 7.772
-4.021 -0.377 4.805
-5.444 -1.899 7.946
-4.283 -4.562 9.433
-1.428 -1.521 3.144
0.000 0.000 0.000
```

Calculated values
- Total moment: 0.000 μB per atom
- Energy of formation from the pure elements: -7.5 kcal/mol of atoms
- Final energy: -2.1000 eV/atom